Ac2TmUSe6 after structural relaxation. Source: Alexandria via LeMat-Bulk, functional PBE-GGA.

Calculated values
- formation energy (no corrections) (eV/atom) = -1.675
- space-group type = No. 146

CIF file:
```
data_Ac2TmUSe6
_cell_length_a 7.580
_cell_length_b 7.579
_cell_length_c 7.863
_cell_angle_alpha 61.19
_cell_angle_beta 61.19
_cell_angle_gamma 60.00
_symmetry_space_group_name_H-M 'P 1'
_symmetry_Int_Tables_number 1
_symmetry_space_group_name_Hall 'P 1'
loop_
_atom_site_label
_atom_site_type_symbol
_atom_site_fract_x
_atom_site_fract_y
_atom_site_fract_z
_atom_site_occupancy
Se1 Se 0.959 0.592 0.261 1
Se2 Se 0.592 0.188 0.261 1
Se3 Se 0.680 0.099 0.768 1
Se4 Se 0.099 0.454 0.768 1
Se5 Se 0.188 0.959 0.261 1
Se6 Se 0.454 0.680 0.768 1
Ac1 Ac 0.526 0.526 0.423 1
Ac2 Ac 0.026 0.026 0.921 1
Tm1 Tm 0.319 0.319 0.043 1
U1 U 0.819 0.819 0.543 1
```